An optimized crystal structure of TcSbTe2Ir, computed with GGA-PBE.

Cell lengths 5.3355, 5.3355, 4.9957 Å; angles 90.00, 90.00, 90.00 degrees
With the nearest neighbours (Å) after each atom.
Fractional coordinates of all 5 atoms:
Sb1 0.0000 0.0000 0.5000  2 Ir 2.50
Ir1 0.0000 0.0000 0.0000  2 Sb 2.50, 4 Te 2.67
Te1 0.0000 0.5000 0.0000  2 Ir 2.67
Te2 0.5000 0.0000 0.0000  2 Ir 2.67
Tc1 0.5000 0.5000 0.5000  8 Te 3.65, 4 Sb 3.77

Summary:
The value obtained for the uncorrected formation energy is 1.120 eV per atom. Its space-group type is No. 123. The total moment is 3.29 μB per cell. Its relative energy among the computed polymorphs is 0.00 eV per formula unit. As for the density of states at the Fermi level: 0.839 states/eV per atom.